No. 1
This record from the Alexandria database describes a relaxed structure of Pu2CoOs3. The functional is GGA-PBE.

Lattice parameters (Å, degrees): 5.2470 5.2470 5.2470 60.58 60.58 60.58
With the nearest neighbours (Å) after each atom.
Sites, in units of the cell vectors:
Pu 0.1235 0.1235 0.1235  9 Os 3.08-3.09, 3 Co 3.11, 4 Pu 3.16-3.25
Pu 0.8765 0.8765 0.8765  9 Os 3.08-3.09, 3 Co 3.11, 4 Pu 3.16-3.25
Co 0.5000 0.5000 0.5000  6 Os 2.62
Os 0.0000 0.5000 0.5000  2 Co 2.62, 4 Os 2.65
Os 0.5000 0.0000 0.5000  2 Co 2.62, 4 Os 2.65
Os 0.5000 0.5000 0.0000  2 Co 2.62, 4 Os 2.65

symmetry = No. 166
total magnetic moment = 1.409 μB/atom
DFT total energy = -11.693 eV per atom
Fermi-level density of states = 14.63 states/eV/cell

***

No. 2
This record from the Alexandria database describes a relaxed structure of Zn2PCl. The functional is GGA-PBE.

Lattice parameters (Å, degrees): 9.7981 9.7981 9.7981 18.76 18.76 18.76
With the nearest neighbours (Å) after each atom.
Sites, in units of the cell vectors:
Zn 0.0000 0.0000 0.0000  3 Cl 2.42
Zn 0.2622 0.2622 0.2622  3 P 2.54, 3 Zn 2.76
P 0.5351 0.5351 0.5351  3 Zn 2.54
Cl 0.7209 0.7209 0.7209  3 Zn 2.42

ΔE_f (raw) = 0.01 eV/atom
ΔE to the lowest computed polymorph = 52.2 kJ per mole of atoms
symmetry = No. 160
total magnetic moment = 0.000 μB/atom
DFT total energy = -2.439 eV per atom
Fermi-level density of states = 2.40 states/eV/cell

***

No. 3
This record from the Alexandria database describes a relaxed structure of Mg3BeBr. The functional is GGA-PBE.

Lattice parameters (Å, degrees): 5.1401 5.1401 5.1401 90.00 90.00 90.00
With the nearest neighbours (Å) after each atom.
Sites, in units of the cell vectors:
Mg 0.0000 0.0000 0.5000  2 Br 2.57
Mg 0.0000 0.5000 0.0000  2 Br 2.57
Mg 0.5000 0.0000 0.0000  2 Br 2.57
Be 0.5000 0.5000 0.5000  12 Mg 3.63
Br 0.0000 0.0000 0.0000  6 Mg 2.57

ΔE_f (raw) = 0.79 eV/atom
ΔE to the lowest computed polymorph = 74.0 kJ per mole of atoms
symmetry = No. 221
total magnetic moment = 0.000 μB/atom
DFT total energy = -1.250 eV per atom
Fermi-level density of states = 2.63 states/eV/cell

***

No. 4
This record from the Alexandria database describes a relaxed structure of Ga2PdBr8. The functional is GGA-PBE.

Lattice parameters (Å, degrees): 7.8546 7.8546 7.3422 94.36 94.36 77.74
With the nearest neighbours (Å) after each atom.
Sites, in units of the cell vectors:
Ga 0.2313 0.2313 0.3217  4 Br 2.30-2.46
Ga 0.7687 0.7687 0.6783  4 Br 2.30-2.46
Pd 0.0000 0.0000 0.0000  4 Br 2.47
Br 0.0637 0.7120 0.8304  1 Ga 2.46, 1 Pd 2.47
Br 0.2199 0.2199 0.6338  1 Ga 2.31
Br 0.2880 0.9363 0.1696  1 Ga 2.46, 1 Pd 2.47
Br 0.4030 0.4030 0.2199  1 Ga 2.30
Br 0.5970 0.5970 0.7801  1 Ga 2.30
Br 0.7120 0.0637 0.8304  1 Ga 2.46, 1 Pd 2.47
Br 0.7801 0.7801 0.3662  1 Ga 2.31
Br 0.9363 0.2880 0.1696  1 Ga 2.46, 1 Pd 2.47

ΔE_f (raw) = -0.68 eV/atom
symmetry = No. 12
total magnetic moment = 0.001 μB/atom
DFT total energy = -2.921 eV per atom

***

No. 5
This record from the Alexandria database describes a relaxed structure of Y5PbSe5. The functional is GGA-PBE.

Lattice parameters (Å, degrees): 7.1807 7.1807 8.3178 106.59 106.59 48.45
With the nearest neighbours (Å) after each atom.
Sites, in units of the cell vectors:
Y 0.0000 0.0000 0.0000  2 Pb 2.95, 4 Se 2.95
Y 0.3316 0.3316 0.6568  5 Se 2.87-2.95, 1 Pb 3.01
Y 0.3339 0.3339 0.1786  5 Se 2.87-2.96, 1 Pb 2.99
Y 0.6661 0.6661 0.8214  5 Se 2.87-2.96, 1 Pb 2.99
Y 0.6684 0.6684 0.3432  5 Se 2.87-2.95, 1 Pb 3.01
Pb 0.5000 0.5000 0.0000  6 Y 2.95-3.01
Se 0.1653 0.1653 0.3354  5 Y 2.87-2.95
Se 0.1710 0.1710 0.8384  5 Y 2.95-2.96
Se 0.5000 0.5000 0.5000  4 Y 2.87-2.89
Se 0.8290 0.8290 0.1616  5 Y 2.95-2.96
Se 0.8347 0.8347 0.6646  5 Y 2.87-2.95

ΔE_f (raw) = -1.61 eV/atom
symmetry = No. 12
total magnetic moment = 0.000 μB/atom
DFT total energy = -6.470 eV per atom
Fermi-level density of states = 2.57 states/eV/cell

***

No. 6
This record from the Alexandria database describes a relaxed structure of BeP2Pb. The functional is GGA-PBE.

Lattice parameters (Å, degrees): 4.0025 3.4922 5.6393 90.00 107.77 90.00
With the nearest neighbours (Å) after each atom.
Sites, in units of the cell vectors:
Be 0.0000 0.0000 0.0000  4 P 2.23
P 0.2356 0.5000 0.8618  1 P 2.21, 2 Be 2.23
P 0.7644 0.5000 0.1382  1 P 2.21, 2 Be 2.23
Pb 0.5000 0.0000 0.5000  2 Be 2.92, 4 P 3.11

symmetry = No. 10
total magnetic moment = 0.000 μB/atom
DFT total energy = -4.393 eV per atom
Fermi-level density of states = 1.40 states/eV/cell

***

No. 7
This record from the Alexandria database describes a relaxed structure of ZrTc. The functional is GGA-PBE.

Lattice parameters (Å, degrees): 4.6256 4.6256 8.2398 90.00 90.00 120.00
With the nearest neighbours (Å) after each atom.
Sites, in units of the cell vectors:
Zr 0.3333 0.6667 0.0749  1 Tc 2.68, 4 Zr 2.89-2.94
Zr 0.3333 0.6667 0.4251  1 Tc 2.68, 4 Zr 2.89-2.94
Zr 0.6667 0.3333 0.5749  1 Tc 2.68, 4 Zr 2.89-2.94
Zr 0.6667 0.3333 0.9251  1 Tc 2.68, 4 Zr 2.89-2.94
Tc 0.0000 0.0000 0.2500  3 Tc 2.67
Tc 0.0000 0.0000 0.7500  3 Tc 2.67
Tc 0.3333 0.6667 0.7500  3 Tc 2.67, 2 Zr 2.68
Tc 0.6667 0.3333 0.2500  3 Tc 2.67, 2 Zr 2.68

symmetry = No. 194
total magnetic moment = 0.000 μB/atom
DFT total energy = -9.266 eV per atom
Fermi-level density of states = 9.91 states/eV/cell

***

No. 8
This record from the Alexandria database describes a relaxed structure of CrSnCl2. The functional is GGA-PBE.

Lattice parameters (Å, degrees): 6.7236 6.7236 6.7236 122.58 122.58 85.58
With the nearest neighbours (Å) after each atom.
Sites, in units of the cell vectors:
Cr 0.0000 0.0000 0.0000  4 Cl 2.19
Cr 0.7500 0.2500 0.5000  4 Cl 2.19
Sn 0.2500 0.7500 0.5000  4 Cl 3.15
Sn 0.5000 0.5000 0.0000  4 Cl 3.15
Cl 0.0027 0.6250 0.8777  2 Cr 2.19
Cl 0.3750 0.2527 0.3777  2 Cr 2.19
Cl 0.7473 0.1250 0.1223  2 Cr 2.19
Cl 0.8750 0.9973 0.6223  2 Cr 2.19

ΔE_f (raw) = 0.27 eV/atom
ΔE to the lowest computed polymorph = 24.9 kJ per mole of atoms
symmetry = No. 122
total magnetic moment = 0.000 μB/atom
DFT total energy = -4.060 eV per atom
Fermi-level density of states = 7.16 states/eV/cell

***

No. 9
This record from the Alexandria database describes a relaxed structure of Mn2HgGe. The functional is GGA-PBE.

Lattice parameters (Å, degrees): 9.2645 9.2645 9.2645 155.86 155.86 34.41
With the nearest neighbours (Å) after each atom.
Sites, in units of the cell vectors:
Mn 0.0118 0.6250 0.8868  2 Mn 2.21, 2 Ge 2.47
Mn 0.3750 0.2618 0.3868  2 Mn 2.21, 2 Ge 2.47
Mn 0.7382 0.1250 0.1132  2 Mn 2.21, 2 Ge 2.47
Mn 0.8750 0.9882 0.6132  2 Mn 2.21, 2 Ge 2.47
Hg 0.2500 0.7500 0.5000  4 Ge 2.74, 4 Mn 2.80
Hg 0.5000 0.5000 0.0000  4 Ge 2.74, 4 Mn 2.80
Ge 0.0000 0.0000 0.0000  4 Mn 2.47, 4 Hg 2.74
Ge 0.7500 0.2500 0.5000  4 Mn 2.47, 4 Hg 2.74

ΔE to the lowest computed polymorph = 39.9 kJ per mole of atoms
symmetry = No. 122
total magnetic moment = 0.000 μB/atom
DFT total energy = -5.088 eV per atom
Fermi-level density of states = 8.30 states/eV/cell

***

No. 10
This record from the Alexandria database describes a relaxed structure of AlP2RhO. The functional is GGA-PBE.

Lattice parameters (Å, degrees): 4.8096 4.8096 3.3065 90.00 90.00 90.00
With the nearest neighbours (Å) after each atom.
Sites, in units of the cell vectors:
Al 0.0000 0.0000 0.0000  2 O 1.65
P 0.0000 0.5000 0.0000  2 Al 2.40
P 0.5000 0.0000 0.0000  2 Al 2.40
Rh 0.5000 0.5000 0.5000  8 P 2.92
O 0.0000 0.0000 0.5000  2 Al 1.65

ΔE_f (raw) = -0.03 eV/atom
ΔE to the lowest computed polymorph = 0.0 kJ per mole of atoms
symmetry = No. 123
total magnetic moment = 0.000 μB/atom
DFT total energy = -5.406 eV per atom
Fermi-level density of states = 3.12 states/eV/cell

***

No. 11
This record from the Alexandria database describes a relaxed structure of CaPr2Cd2. The functional is GGA-PBE.

Lattice parameters (Å, degrees): 3.8172 5.5398 14.6482 90.00 97.52 90.00
With the nearest neighbours (Å) after each atom.
Sites, in units of the cell vectors:
Ca 0.1458 0.2500 0.2905  6 Cd 3.35-3.37
Ca 0.8542 0.7500 0.7095  6 Cd 3.35-3.37
Pr 0.0473 0.7500 0.0933  8 Cd 3.34-3.40
Pr 0.2336 0.7500 0.4676  2 Cd 3.29-3.30, 4 Pr 3.49
Pr 0.7664 0.2500 0.5324  2 Cd 3.29-3.30, 4 Pr 3.49
Pr 0.9527 0.2500 0.9067  8 Cd 3.34-3.40
Cd 0.3587 0.2500 0.7175  4 Pr 3.29-3.35, 4 Ca 3.36-3.37
Cd 0.4489 0.7500 0.8994  2 Ca 3.35-3.36, 6 Pr 3.37-3.40
Cd 0.5511 0.2500 0.1006  2 Ca 3.35-3.36, 6 Pr 3.37-3.40
Cd 0.6413 0.7500 0.2825  4 Pr 3.29-3.35, 4 Ca 3.36-3.37

ΔE to the lowest computed polymorph = 0.0 kJ per mole of atoms
symmetry = No. 11
total magnetic moment = 0.066 μB/atom
DFT total energy = -2.933 eV per atom
Fermi-level density of states = 11.83 states/eV/cell

***

No. 12
This record from the Alexandria database describes a relaxed structure of MgCrBr2. The functional is GGA-PBE.

Lattice parameters (Å, degrees): 9.7871 9.7871 9.7871 21.77 21.77 21.77
With the nearest neighbours (Å) after each atom.
Sites, in units of the cell vectors:
Mg 0.0000 0.0000 0.0000  3 Br 2.67
Cr 0.2519 0.2519 0.2519  3 Br 2.62
Br 0.5323 0.5323 0.5323  3 Cr 2.62
Br 0.7225 0.7225 0.7225  3 Mg 2.67

ΔE_f (raw) = -0.42 eV/atom
ΔE to the lowest computed polymorph = 0.0 kJ per mole of atoms
symmetry = No. 160
total magnetic moment = 1.000 μB/atom
DFT total energy = -4.062 eV per atom
Fermi-level density of states = 3.53 states/eV/cell

***

What did the twelfth record say?
This record from the Alexandria database describes a relaxed structure of MgCrBr2. The functional is GGA-PBE.

Lattice parameters (Å, degrees): 9.7871 9.7871 9.7871 21.77 21.77 21.77
With the nearest neighbours (Å) after each atom.
Sites, in units of the cell vectors:
Mg 0.0000 0.0000 0.0000  3 Br 2.67
Cr 0.2519 0.2519 0.2519  3 Br 2.62
Br 0.5323 0.5323 0.5323  3 Cr 2.62
Br 0.7225 0.7225 0.7225  3 Mg 2.67

ΔE_f (raw) = -0.42 eV/atom
ΔE to the lowest computed polymorph = 0.0 kJ per mole of atoms
symmetry = No. 160
total magnetic moment = 1.000 μB/atom
DFT total energy = -4.062 eV per atom
Fermi-level density of states = 3.53 states/eV/cell